This record from Alexandria via LeMat-Bulk describes a crystal of BeFe2W relaxed with PBEsol. The functional is meta-GGA SCAN. Values from VASP.

```
&SYSTEM
  ibrav = 0, nat = 4, ntyp = 3
/
ATOMIC_SPECIES
Be 9.01 Be.upf
Fe 55.84 Fe.upf
W 183.84 W.upf
ATOMIC_POSITIONS angstrom
Be 0.000 0.000 0.000
Fe 0.000 0.000 2.682
Fe 1.303 1.303 1.250
W 1.303 1.303 4.653
CELL_PARAMETERS angstrom
2.606 0.000 0.000
0.000 2.606 0.000
0.000 0.000 6.367
```

The density of states at the Fermi level comes out at 1.9 states/eV per cell. The formation energy is 164 meV/atom. As for the crystal system: tetragonal.

---

This record from Alexandria via LeMat-Bulk describes a crystal of YBe2Fe relaxed with PBEsol. The functional is meta-GGA SCAN. Values from VASP.

```
&SYSTEM
  ibrav = 0, nat = 4, ntyp = 3
/
ATOMIC_SPECIES
Y 88.91 Y.upf
Be 9.01 Be.upf
Fe 55.84 Fe.upf
ATOMIC_POSITIONS angstrom
Y 0.000 0.000 0.000
Be 1.228 1.742 1.547
Be 1.228 -1.742 1.547
Fe 2.457 0.000 0.000
CELL_PARAMETERS angstrom
2.457 -3.484 0.000
2.457 3.484 0.000
0.000 0.000 3.095
```

The density of states at the Fermi level comes out at 1.8 states/eV per cell. The formation energy is 559 meV/atom. The calculation puts the energy above the most stable polymorph in this dataset at 562.3 meV per atom. As for the crystal system: orthorhombic.